No. 1
# ZrSc2HAu

ZrSc2HAu after structural relaxation (GGA-PBE, Alexandria via LeMat-Bulk).

Total DFT energy (no corrections) in eV for the cell shown: -29.87
D(E_F) in states/eV/atom: 1.2998
Total moment in Bohr magnetons per cell: 0.00

Cell lengths 4.5160, 4.5160, 4.1737 Å; angles 90.00, 90.00, 90.00 degrees
With the nearest neighbours (Å) after each atom.
Fractional coordinates of all 5 atoms:
Sc (0.0000, 0.5000, 0.0000)  2 H 2.26
Sc (0.5000, 0.0000, 0.0000)  2 H 2.26
H (0.0000, 0.0000, 0.0000)  2 Zr 2.09, 4 Sc 2.26
Au (0.5000, 0.5000, 0.5000)  8 Sc 3.07, 4 Zr 3.19
Zr (0.0000, 0.0000, 0.5000)  2 H 2.09

=====

No. 2
# SrBIO2

SrBIO2 after structural relaxation (GGA-PBE, Alexandria via LeMat-Bulk).

D(E_F) in states/eV/atom: 0.3034
Formation energy without anion corrections in kJ/mol of formula units: -114.7
Energy above the most stable polymorph in this dataset in kJ per mole of atoms: 0.0
Total moment in Bohr magnetons per cell: 0.21

Cell lengths 4.2019, 4.2019, 4.5779 Å; angles 90.00, 90.00, 90.00 degrees
With the nearest neighbours (Å) after each atom.
Fractional coordinates of all 5 atoms:
I (0.0000, 0.0000, 0.5000)  2 B 2.29
Sr (0.5000, 0.5000, 0.5000)  4 I 2.97, 8 O 3.11
B (0.0000, 0.0000, 0.0000)  4 O 2.10, 2 I 2.29
O (0.0000, 0.5000, 0.0000)  2 B 2.10
O (0.5000, 0.0000, 0.0000)  2 B 2.10

=====

No. 3
# Re2WBr

Re2WBr after structural relaxation (GGA-PBE, Alexandria via LeMat-Bulk).

D(E_F) in states/eV/atom: 0.9256
Formation energy without anion corrections in kJ/mol of formula units: 415.2
Energy above the most stable polymorph in this dataset in kJ per mole of atoms: 44.8
Total moment in Bohr magnetons per cell: 0.00

Cell lengths 2.9555, 4.6716, 4.6067 Å; angles 90.00, 90.00, 90.00 degrees
With the nearest neighbours (Å) after each atom.
Fractional coordinates of all 4 atoms:
Re (0.0000, 0.0000, 0.0000)  4 W 2.74, 6 Re 2.76-2.96
Re (0.5000, 0.5000, 0.0000)  4 Br 2.74, 6 Re 2.76-2.96
Br (0.0000, 0.5000, 0.5000)  4 Re 2.74, 4 W 2.76, 2 Br 2.96
W (0.5000, 0.0000, 0.5000)  4 Re 2.74, 4 Br 2.76, 2 W 2.96

=====

No. 4
# Li2NiI

Li2NiI after structural relaxation (GGA-PBE, Alexandria via LeMat-Bulk).

D(E_F) in states/eV/atom: 0.6064
Formation energy without anion corrections in kJ/mol of formula units: 6.9
Energy above the most stable polymorph in this dataset in kJ per mole of atoms: 0.0
Total moment in Bohr magnetons per cell: 0.00

Cell lengths 7.4467, 7.4467, 5.9351 Å; angles 51.15, 51.15, 90.00 degrees
With the nearest neighbours (Å) after each atom.
Fractional coordinates of all 8 atoms:
I (0.0000, 0.0000, 0.0000)  2 Ni 2.74, 4 Li 2.91
I (0.7500, 0.2500, 0.5000)  2 Ni 2.74, 4 Li 2.91
Ni (0.5000, 0.5000, 0.0000)  4 Li 2.54, 2 I 2.74
Ni (0.2500, 0.7500, 0.5000)  4 Li 2.54, 2 I 2.74
Li (0.5885, 0.1250, 0.2500)  2 Ni 2.54, 2 Li 2.79
Li (0.1615, 0.6250, 0.2500)  2 Ni 2.54, 2 Li 2.79
Li (0.3750, 0.4115, 0.7500)  2 Ni 2.54, 2 Li 2.79
Li (0.8750, 0.8385, 0.7500)  2 Ni 2.54, 2 Li 2.79

=====

No. 5
# LiLaPuPt

LiLaPuPt after structural relaxation (GGA-PBE, Alexandria via LeMat-Bulk).

Total DFT energy (no corrections) in eV for the cell shown: -28.78
D(E_F) in states/eV/atom: 1.9309
Total moment in Bohr magnetons per cell: 5.84

Cell lengths 5.1049, 5.1049, 5.1049 Å; angles 60.00, 60.00, 60.00 degrees
With the nearest neighbours (Å) after each atom.
Fractional coordinates of all 4 atoms:
La (0.5000, 0.5000, 0.5000)  4 Li 3.13, 4 Pt 3.13
Li (0.2500, 0.2500, 0.2500)  4 La 3.13, 4 Pu 3.13
Pt (0.7500, 0.7500, 0.7500)  4 La 3.13, 4 Pu 3.13
Pu (0.0000, 0.0000, 0.0000)  4 Pt 3.13, 4 Li 3.13

=====

No. 6
# Tb5Sm12Dy2

Tb5Sm12Dy2 after structural relaxation (GGA-PBE, Alexandria via LeMat-Bulk).

D(E_F) in states/eV/atom: 1.4536
Energy above the most stable polymorph in this dataset in kJ per mole of atoms: 0.0
Total moment in Bohr magnetons per cell: 0.00

Cell lengths 11.6849, 10.6697, 6.2083 Å; angles 100.71, 90.00, 123.20 degrees
With the nearest neighbours (Å) after each atom.
Fractional coordinates of all 19 atoms:
Tb (0.2150, 0.4300, 0.5518)  8 Sm 3.45-3.68, 3 Tb 3.53-3.78
Tb (0.3231, 0.6463, 0.1399)  9 Sm 3.41-3.81, 2 Tb 3.53-3.73
Tb (0.0000, 0.0000, 0.5000)  6 Sm 3.35-3.45
Tb (0.6769, 0.3537, 0.8601)  9 Sm 3.41-3.81, 2 Tb 3.53-3.73
Tb (0.7850, 0.5700, 0.4482)  8 Sm 3.45-3.68, 3 Tb 3.53-3.78
Sm (0.1206, 0.2411, 0.9981)  4 Tb 3.35-3.55, 4 Sm 3.41-3.74, 2 Dy 3.43
Sm (0.0587, 0.6051, 0.8006)  6 Sm 3.39-3.79, 3 Tb 3.45-3.68, 1 Dy 3.48
Sm (0.5465, 0.6051, 0.8006)  6 Sm 3.39-3.79, 3 Tb 3.45-3.68, 1 Dy 3.48
Sm (0.1477, 0.7937, 0.3831)  1 Dy 3.33, 5 Sm 3.39-3.65, 3 Tb 3.41-3.62
Sm (0.6459, 0.7937, 0.3831)  1 Dy 3.33, 5 Sm 3.39-3.65, 3 Tb 3.41-3.62
Sm (0.4451, 0.8902, 0.7259)  6 Sm 3.53-3.92, 2 Dy 3.63, 2 Tb 3.72-3.80
Sm (0.5549, 0.1098, 0.2741)  6 Sm 3.53-3.92, 2 Dy 3.63, 2 Tb 3.72-3.80
Sm (0.8523, 0.2063, 0.6169)  1 Dy 3.33, 5 Sm 3.39-3.65, 3 Tb 3.41-3.62
Sm (0.3541, 0.2063, 0.6169)  1 Dy 3.33, 5 Sm 3.39-3.65, 3 Tb 3.41-3.62
Sm (0.9413, 0.3949, 0.1994)  6 Sm 3.39-3.79, 3 Tb 3.45-3.68, 1 Dy 3.48
Sm (0.4535, 0.3949, 0.1994)  6 Sm 3.39-3.79, 3 Tb 3.45-3.68, 1 Dy 3.48
Sm (0.8794, 0.7589, 0.0019)  4 Tb 3.35-3.55, 4 Sm 3.41-3.74, 2 Dy 3.43
Dy (0.7715, 0.0000, 0.0000)  8 Sm 3.33-3.63
Dy (0.2285, 0.0000, 0.0000)  8 Sm 3.33-3.63

=====

No. 7
# MnGaAu

MnGaAu after structural relaxation (GGA-PBE, Alexandria via LeMat-Bulk).

Total DFT energy (no corrections) in eV for the cell shown: -31.34
D(E_F) in states/eV/atom: 0.5892
Total moment in Bohr magnetons per cell: 6.55

Cell lengths 2.9469, 5.4776, 6.3281 Å; angles 105.17, 89.97, 90.00 degrees
With the nearest neighbours (Å) after each atom.
Fractional coordinates of all 6 atoms:
Mn (0.2852, 0.4362, 0.2363)  4 Ga 2.64-2.67, 4 Mn 2.67-2.95, 4 Au 2.79
Mn (0.2852, 0.9451, 0.2246)  4 Ga 2.64-2.67, 4 Mn 2.67-2.95, 4 Au 2.79
Ga (0.7858, 0.1068, 0.9417)  4 Mn 2.64-2.67, 3 Au 2.66-2.81, 2 Ga 2.95
Ga (0.7850, 0.2745, 0.5193)  4 Mn 2.64-2.67, 3 Au 2.66-2.81, 2 Ga 2.95
Au (0.7849, 0.7932, 0.5424)  3 Ga 2.66-2.81, 4 Mn 2.79, 3 Au 2.89-2.95
Au (0.7857, 0.5881, 0.9186)  3 Ga 2.66-2.81, 4 Mn 2.79, 3 Au 2.89-2.95

=====

No. 8
# MgAuCl2

MgAuCl2 after structural relaxation (GGA-PBE, Alexandria via LeMat-Bulk).

D(E_F) in states/eV/atom: 0.3301
Formation energy without anion corrections in kJ/mol of formula units: -249.5
Energy above the most stable polymorph in this dataset in kJ per mole of atoms: 33.0
Total moment in Bohr magnetons per cell: 0.00

Cell lengths 3.4106, 3.4106, 8.3554 Å; angles 90.00, 90.00, 107.06 degrees
With the nearest neighbours (Å) after each atom.
Fractional coordinates of all 4 atoms:
Au (0.5000, 0.5000, 0.7312)  2 Cl 2.59, 2 Mg 2.76
Cl (0.0000, 0.0000, 0.9251)  2 Au 2.59
Cl (0.5000, 0.5000, 0.3362)  2 Mg 2.48
Mg (0.0000, 0.0000, 0.5075)  2 Cl 2.48, 2 Au 2.76

=====

No. 9
# CaIrPt

CaIrPt after structural relaxation (GGA-PBE, Alexandria via LeMat-Bulk).

D(E_F) in states/eV/atom: 0.6516
Energy above the most stable polymorph in this dataset in kJ per mole of atoms: 0.0
Total moment in Bohr magnetons per cell: 0.00

Cell lengths 5.4219, 5.4219, 5.4219 Å; angles 88.89, 119.85, 121.44 degrees
With the nearest neighbours (Å) after each atom.
Fractional coordinates of all 6 atoms:
Ca (0.2500, 0.1223, 0.8723)  6 Pt 3.13-3.22, 6 Ir 3.17-3.18, 4 Ca 3.31
Ca (0.7500, 0.8777, 0.1277)  6 Pt 3.13-3.22, 6 Ir 3.17-3.18, 4 Ca 3.31
Ir (0.0000, 0.5000, 0.5000)  2 Ir 2.65, 4 Pt 2.71
Ir (0.5000, 0.0000, 0.5000)  2 Ir 2.65, 4 Pt 2.71
Pt (0.5000, 0.5000, 0.5000)  4 Ir 2.71, 2 Pt 2.72
Pt (0.0000, 0.5000, 0.0000)  4 Ir 2.71, 2 Pt 2.72

=====

No. 10
# LiAlCd

LiAlCd after structural relaxation (GGA-PBE, Alexandria via LeMat-Bulk).

D(E_F) in states/eV/atom: 0.2091
Energy above the most stable polymorph in this dataset in kJ per mole of atoms: 2.1
Total moment in Bohr magnetons per cell: 0.00

Cell lengths 5.0564, 2.9953, 7.3888 Å; angles 90.00, 104.63, 90.00 degrees
With the nearest neighbours (Å) after each atom.
Fractional coordinates of all 6 atoms:
Li (0.8677, 0.0000, 0.1833)  3 Al 2.87-2.90, 6 Cd 2.91-2.95, 3 Li 3.00-3.07
Li (0.1197, 0.0000, 0.8464)  3 Al 2.85-2.92, 6 Cd 2.91-2.97, 3 Li 3.00-3.07
Al (0.8384, 0.5000, 0.5144)  6 Al 2.81-3.06, 2 Cd 2.90-2.93, 4 Li 2.90-2.92
Al (0.3098, 0.0000, 0.5144)  6 Al 2.81-3.06, 2 Li 2.85-2.87, 4 Cd 2.94-2.96
Cd (0.3707, 0.5000, 0.1851)  6 Li 2.92-2.95, 3 Al 2.93-2.94, 3 Cd 3.00-3.11
Cd (0.6256, 0.5000, 0.8435)  3 Al 2.90-2.96, 6 Li 2.91-2.97, 3 Cd 3.00-3.11

=====

No. 11
# LaB4Rh5

LaB4Rh5 after structural relaxation (GGA-PBE, Alexandria via LeMat-Bulk).

Total DFT energy (no corrections) in eV for the cell shown: -143.86
D(E_F) in states/eV/atom: 0.4451
Total moment in Bohr magnetons per cell: 0.00

Cell lengths 5.0388, 5.8478, 9.0129 Å; angles 90.00, 90.00, 90.00 degrees
With the nearest neighbours (Å) after each atom.
Fractional coordinates of all 20 atoms:
La (0.7438, 0.0000, 0.0000)  6 Rh 3.01-3.04, 2 B 3.06
La (0.2562, 0.5000, 0.5000)  6 Rh 3.01-3.04, 2 B 3.06
B (0.0229, 0.0000, 0.6462)  2 B 1.93
B (0.1951, 0.6507, 0.0000)  3 B 1.76-1.93
B (0.1951, 0.3493, 0.0000)  3 B 1.76-1.93
B (0.0229, 0.0000, 0.3538)  2 B 1.93
B (0.9771, 0.5000, 0.1462)  2 B 1.93
B (0.8049, 0.8493, 0.5000)  3 B 1.76-1.93
B (0.8049, 0.1507, 0.5000)  3 B 1.76-1.93
B (0.9771, 0.5000, 0.8538)  2 B 1.93
Rh (0.2560, 0.7651, 0.7896)  3 B 2.03-2.22
Rh (0.2560, 0.2349, 0.7896)  3 B 2.03-2.22
Rh (0.6042, 0.5000, 0.0000)  4 B 2.24-2.29
Rh (0.2560, 0.7651, 0.2104)  3 B 2.03-2.22
Rh (0.2560, 0.2349, 0.2104)  3 B 2.03-2.22
Rh (0.7440, 0.7349, 0.2896)  3 B 2.03-2.22
Rh (0.7440, 0.2651, 0.2896)  3 B 2.03-2.22
Rh (0.3958, 0.0000, 0.5000)  4 B 2.24-2.29
Rh (0.7440, 0.2651, 0.7104)  3 B 2.03-2.22
Rh (0.7440, 0.7349, 0.7104)  3 B 2.03-2.22

=====

No. 12
# Zn2CoRe

Zn2CoRe after structural relaxation (GGA-PBE, Alexandria via LeMat-Bulk).

D(E_F) in states/eV/atom: 1.0358
Energy above the most stable polymorph in this dataset in kJ per mole of atoms: 15.8
Total moment in Bohr magnetons per cell: 1.56

Cell lengths 2.6028, 2.6028, 8.4063 Å; angles 90.00, 90.00, 106.85 degrees
With the nearest neighbours (Å) after each atom.
Fractional coordinates of all 4 atoms:
Co (0.5000, 0.5000, 0.2500)  4 Zn 2.51, 4 Co 2.60
Re (0.5000, 0.5000, 0.7500)  4 Re 2.60, 4 Zn 2.72
Zn (0.0000, 0.0000, 0.0158)  2 Co 2.51, 4 Zn 2.60, 2 Re 2.72
Zn (0.0000, 0.0000, 0.4842)  2 Co 2.51, 4 Zn 2.60, 2 Re 2.72